Material: AlV
Method: DFT, PBE
State: relaxed

POSCAR file:
```
AlV
1.0
3.2825 0.0000 0.0000
-1.6412 4.4724 -1.5765
0.0000 0.1824 5.8156
V Al
3 3
Cartesian
1.6412 1.9725 1.6469
0.0000 3.1738 0.1862
0.0000 3.3345 3.0428
0.0000 0.2513 0.2951
1.6412 1.9069 4.5415
0.0000 0.3136 3.0865
```

Computed properties:
final energy = -6.62 eV/atom
M_tot = 0.00 μB per formula unit
energy relative to the elements = -0.192 eV per atom
space group = Cm (8)

Material: Nd6TlSn2Te3
Method: DFT, PBE
State: relaxed

POSCAR file:
```
Nd6TlSn2Te3
1.0
-0.5835 -2.9878 3.3079
9.0239 -1.3190 0.4005
-1.6718 8.9116 4.6995
Nd Sn Te Tl
6 2 3 1
Cartesian
2.2820 -0.3319 0.1028
4.4865 4.9367 8.3052
-0.1732 0.8717 3.8115
2.5307 4.3479 4.3735
4.2379 0.2569 4.0344
6.9417 3.7331 4.5964
2.3180 2.0133 2.2274
4.4505 2.5915 6.1805
6.8391 1.3870 2.4592
-0.0705 3.2178 5.9487
4.2202 -2.1534 1.8542
-0.2918 -1.4939 1.6540
```

Computed properties:
final energy = -5.07 eV/atom
M_tot = 0.00 μB per formula unit
space group = C2/m (12)
formation energy (no corrections) = -99.9 kJ per mole of atoms

Material: Ca3Mg2Al4
Method: DFT, PBE
State: relaxed

POSCAR file:
```
Ca3Mg2Al4
1.0
4.8684 0.0000 0.0000
-2.4342 5.4828 -0.7139
0.0000 -3.2498 8.5709
Al Ca Mg
4 3 2
Cartesian
2.4342 2.5136 0.3062
0.0000 -0.8230 3.1767
0.0000 -0.2806 7.5508
2.4342 3.0561 4.6803
0.0000 0.0000 0.0000
0.0000 2.6444 2.3331
2.4342 -0.4114 5.5239
2.4342 0.4597 2.3826
0.0000 1.7733 5.4744
```

Computed properties:
final energy = -2.88 eV/atom
M_tot = 0.00 μB per formula unit
energy relative to the elements = -0.196 eV per atom
space group = C2/m (12)

Material: MgCo2Bi2
Method: DFT, PBE
State: relaxed

POSCAR file:
```
MgCo2Bi2
1.0
7.1599 0.0000 0.0000
0.0000 7.1599 0.0000
0.0000 0.0000 3.7908
Bi Mg Co
4 2 4
Cartesian
5.9366 2.3567 1.8954
1.2233 4.8032 1.8954
4.8032 5.9366 1.8954
2.3567 1.2233 1.8954
3.5799 3.5799 0.0000
0.0000 0.0000 0.0000
2.6996 6.2795 0.0000
0.8804 2.6996 0.0000
4.4603 0.8804 0.0000
6.2795 4.4603 0.0000
```

Computed properties:
final energy = -4.45 eV/atom
M_tot = 1.84 μB per formula unit
energy above the lowest structure with this stoichiometry = 17 meV/atom
energy relative to the elements = 0.264 eV per atom
space group = P4/mbm (127)

One value per record, in order, for density of states at the Fermi level: 5.167 6.727 2.874 11.345 states/eV per cell.
One value per record, in order, for V: 14.39 32.76 24.16 19.43 A^3/atom.